No. 1
The following is a DFT calculation (GGA-PBE) of crystalline GaFeIrW at its relaxed geometry.

a = 4.3194 Å, b = 4.3194 Å, c = 4.3194 Å
α = 60.00°, β = 60.00°, γ = 60.00°
Element x y z (fractional)
Ir (0.7500, 0.7500, 0.7500)
Ga (0.0000, 0.0000, 0.0000)
W (0.5000, 0.5000, 0.5000)
Fe (0.2500, 0.2500, 0.2500)

Properties
As for the total magnetization: 1.9 μB/f.u. The calculation puts the formation energy from the elements at -42 meV/atom. For the volume, the calculation gives 14.2 A^3/atom. The symmetry is F-43m.

---

No. 2
The following is a DFT calculation (GGA-PBE) of crystalline KGaFe3 at its relaxed geometry.

a = 4.7442 Å, b = 4.7442 Å, c = 4.7442 Å
α = 90.00°, β = 90.00°, γ = 90.00°
Element x y z (fractional)
K (0.5000, 0.5000, 0.5000)
Fe (0.0000, 0.5000, 0.0000)
Fe (0.0000, 0.0000, 0.5000)
Fe (0.5000, 0.0000, 0.0000)
Ga (0.0000, 0.0000, 0.0000)

Properties
As for the total magnetization: 8.5 μB/f.u. The calculation puts the formation energy from the elements at 1089 meV/atom. For the volume, the calculation gives 21.4 A^3/atom. The symmetry is Pm-3m. The energy above the most stable polymorph in this dataset is 0 meV/atom.

---

No. 3
The following is a DFT calculation (GGA-PBE) of crystalline KGaFe3 at its relaxed geometry.

a = 4.6191 Å, b = 4.6191 Å, c = 4.6191 Å
α = 90.00°, β = 90.00°, γ = 90.00°
Element x y z (fractional)
K (0.0000, 0.0000, 0.0000)
Fe (0.0000, 0.5000, 0.0000)
Fe (0.0000, 0.0000, 0.5000)
Fe (0.5000, 0.0000, 0.0000)
Ga (0.5000, 0.5000, 0.5000)

Properties
As for the total magnetization: 7.8 μB/f.u. The calculation puts the formation energy from the elements at 2318 meV/atom. For the volume, the calculation gives 19.7 A^3/atom. The symmetry is Pm-3m. The energy above the most stable polymorph in this dataset is 1229 meV/atom.

---

No. 4
The following is a DFT calculation (GGA-PBE) of crystalline KMgGa2Fe at its relaxed geometry.

a = 4.6964 Å, b = 4.6964 Å, c = 4.9821 Å
α = 90.00°, β = 90.00°, γ = 90.00°
Element x y z (fractional)
Mg (0.0000, 0.0000, 0.5000)
K (0.5000, 0.5000, 0.5000)
Fe (0.0000, 0.0000, 0.0000)
Ga (0.0000, 0.5000, 0.0000)
Ga (0.5000, 0.0000, 0.0000)

Properties
As for the total magnetization: 0.0 μB/f.u. The calculation puts the formation energy from the elements at -1 meV/atom. For the volume, the calculation gives 22.0 A^3/atom. The symmetry is P4/mmm.